[1]
! PBE CrSnTe, relaxed; values from VASP
! E_form (uncorrected): 0.198 eV per atom
! Volume: 23.4 Å³/atom
&SYSTEM
  ibrav = 0, nat = 6, ntyp = 3
/
ATOMIC_SPECIES
Cr 52.00 Cr.upf
Te 127.60 Te.upf
Sn 118.71 Sn.upf
ATOMIC_POSITIONS crystal
Cr 0.445 0.890 0.000
Cr 0.444 0.888 0.500
Te 0.777 0.554 0.374
Te 0.777 0.554 0.626
Sn 0.112 0.223 0.850
Sn 0.112 0.223 0.150
CELL_PARAMETERS angstrom
-2.042 -2.759 0.414
3.423 -0.312 0.369
-1.164 2.847 13.217



[2]
! PBE Gd2SnGe, relaxed; values from VASP
! Volume: 25.0 Å³/atom
! ΔH_f (0 K): -694 meV/atom
&SYSTEM
  ibrav = 0, nat = 4, ntyp = 3
/
ATOMIC_SPECIES
Ge 72.64 Ge.upf
Gd 157.25 Gd.upf
Sn 118.71 Sn.upf
ATOMIC_POSITIONS crystal
Ge 0.500 0.500 0.000
Gd 0.000 0.000 0.772
Gd 0.000 0.000 0.228
Sn 0.500 0.500 0.500
CELL_PARAMETERS angstrom
-1.491 2.241 2.069
-2.960 -1.620 -0.379
1.886 -5.039 6.817



[3]
! PBE ReMo2Os, relaxed; values from VASP
! Volume: 15.4 Å³/atom
! ΔH_f (0 K): 210 meV/atom
&SYSTEM
  ibrav = 0, nat = 4, ntyp = 3
/
ATOMIC_SPECIES
Mo 95.94 Mo.upf
Os 190.23 Os.upf
Re 186.21 Re.upf
ATOMIC_POSITIONS crystal
Mo 0.011 0.011 0.000
Mo 0.489 0.489 0.000
Os 0.750 0.250 0.500
Re 0.250 0.750 0.500
CELL_PARAMETERS angstrom
-1.568 -1.647 -4.662
3.480 -2.580 -2.853
-2.599 0.071 4.488



[4]
! PBE AcLaErAg, relaxed; values from VASP
! Volume: 31.9 Å³/atom
! ΔH_f (0 K): 169 meV/atom
&SYSTEM
  ibrav = 0, nat = 4, ntyp = 4
/
ATOMIC_SPECIES
Ac 227.00 Ac.upf
La 138.91 La.upf
Ag 107.87 Ag.upf
Er 167.26 Er.upf
ATOMIC_POSITIONS crystal
Ac 0.750 0.750 0.750
La 0.500 0.500 0.500
Ag 0.250 0.250 0.250
Er 0.000 0.000 0.000
CELL_PARAMETERS angstrom
-3.884 4.051 -0.638
-5.464 -1.172 0.818
-2.688 2.072 4.515